LiCe3Sm2Se6: optimized geometry, PBE.

Output
Space group: C2/m (12)

Cell: 7.2100 7.2100 7.2329 Å, 99.60 99.60 120.06°
With the nearest neighbours (Å) after each atom.
Fractional positions:
Li: 0.0000 0.0000 0.0000  6 Se 2.84-2.86
Ce: 0.1688 0.8312 0.5000  6 Se 2.96-3.03
Ce: 0.5000 0.5000 0.5000  6 Se 2.96-3.04
Ce: 0.8312 0.1688 0.5000  6 Se 2.96-3.03
Sm: 0.3340 0.6660 0.0000  6 Se 2.94
Sm: 0.6660 0.3340 0.0000  6 Se 2.94
Se: 0.0795 0.4025 0.2395  1 Li 2.84, 2 Sm 2.94, 3 Ce 2.96-3.03
Se: 0.2426 0.2426 0.7580  1 Li 2.86, 2 Sm 2.94, 3 Ce 2.97-3.04
Se: 0.4025 0.0795 0.2395  1 Li 2.84, 2 Sm 2.94, 3 Ce 2.96-3.03
Se: 0.5975 0.9205 0.7605  1 Li 2.84, 2 Sm 2.94, 3 Ce 2.96-3.03
Se: 0.7574 0.7574 0.2420  1 Li 2.86, 2 Sm 2.94, 3 Ce 2.97-3.04
Se: 0.9205 0.5975 0.7605  1 Li 2.84, 2 Sm 2.94, 3 Ce 2.96-3.03



Li3Ce3SmSe8: optimized geometry, PBE.

Output
Space group: R-3m (166)

Cell: 8.0709 8.0709 8.0709 Å, 63.00 63.00 63.00°
With the nearest neighbours (Å) after each atom.
Fractional positions:
Li: 0.0000 0.5000 0.5000  6 Se 2.89-2.91
Li: 0.5000 0.0000 0.5000  6 Se 2.89-2.91
Li: 0.5000 0.5000 0.0000  6 Se 2.89-2.91
Ce: 0.0000 0.0000 0.5000  6 Se 2.93-2.95
Ce: 0.0000 0.5000 0.0000  6 Se 2.93-2.95
Ce: 0.5000 0.0000 0.0000  6 Se 2.93-2.95
Sm: 0.5000 0.5000 0.5000  6 Se 2.92
Se: 0.2500 0.2500 0.7488  2 Li 2.91, 1 Sm 2.92, 2 Ce 2.93
Se: 0.2500 0.7488 0.2500  2 Li 2.91, 1 Sm 2.92, 2 Ce 2.93
Se: 0.2512 0.7500 0.7500  2 Li 2.91, 1 Sm 2.92, 2 Ce 2.93
Se: 0.2529 0.2529 0.2529  3 Li 2.89, 3 Ce 2.95
Se: 0.7471 0.7471 0.7471  3 Li 2.89, 3 Ce 2.95
Se: 0.7488 0.2500 0.2500  2 Li 2.91, 1 Sm 2.92, 2 Ce 2.93
Se: 0.7500 0.2512 0.7500  2 Li 2.91, 1 Sm 2.92, 2 Ce 2.93
Se: 0.7500 0.7500 0.2512  2 Li 2.91, 1 Sm 2.92, 2 Ce 2.93



LiCe3Sm3Se8: optimized geometry, PBE.

Output
Space group: R-3m (166)

Cell: 8.3287 8.3287 8.3287 Å, 59.86 59.86 59.86°
With the nearest neighbours (Å) after each atom.
Fractional positions:
Li: 0.0000 0.0000 0.0000  6 Se 2.89
Ce: 0.0000 0.5000 0.5000  6 Se 2.95-2.96
Ce: 0.5000 0.0000 0.5000  6 Se 2.95-2.96
Ce: 0.5000 0.5000 0.0000  6 Se 2.95-2.96
Sm: 0.0000 0.0000 0.5000  6 Se 2.93-2.94
Sm: 0.0000 0.5000 0.0000  6 Se 2.93-2.94
Sm: 0.5000 0.0000 0.0000  6 Se 2.93-2.94
Se: 0.2444 0.7547 0.7547  1 Li 2.89, 2 Sm 2.94, 2 Ce 2.95
Se: 0.2453 0.2453 0.7556  1 Li 2.89, 2 Sm 2.94, 2 Ce 2.95
Se: 0.2453 0.7556 0.2453  1 Li 2.89, 2 Sm 2.94, 2 Ce 2.95
Se: 0.2488 0.2488 0.2488  3 Sm 2.93, 3 Ce 2.96
Se: 0.7512 0.7512 0.7512  3 Sm 2.93, 3 Ce 2.96
Se: 0.7547 0.2444 0.7547  1 Li 2.89, 2 Sm 2.94, 2 Ce 2.95
Se: 0.7547 0.7547 0.2444  1 Li 2.89, 2 Sm 2.94, 2 Ce 2.95
Se: 0.7556 0.2453 0.2453  1 Li 2.89, 2 Sm 2.94, 2 Ce 2.95



LiCe2Sm3Se6: optimized geometry, PBE.

Output
Space group: C2/m (12)

Cell: 7.2026 7.2026 7.2225 Å, 99.63 99.63 120.11°
With the nearest neighbours (Å) after each atom.
Fractional positions:
Li: 0.0000 0.0000 0.0000  6 Se 2.86
Ce: 0.3346 0.6654 0.0000  6 Se 2.95-2.96
Ce: 0.6654 0.3346 0.0000  6 Se 2.95-2.96
Sm: 0.1676 0.8324 0.5000  6 Se 2.93-3.01
Sm: 0.5000 0.5000 0.5000  6 Se 2.93-3.02
Sm: 0.8324 0.1676 0.5000  6 Se 2.93-3.01
Se: 0.0813 0.4049 0.2456  1 Li 2.86, 3 Sm 2.93-3.01, 2 Ce 2.96
Se: 0.2405 0.2405 0.7541  1 Li 2.86, 3 Sm 2.93-3.02, 2 Ce 2.95
Se: 0.4049 0.0813 0.2456  1 Li 2.86, 3 Sm 2.93-3.01, 2 Ce 2.96
Se: 0.5951 0.9187 0.7544  1 Li 2.86, 3 Sm 2.93-3.01, 2 Ce 2.96
Se: 0.7595 0.7595 0.2459  1 Li 2.86, 3 Sm 2.93-3.02, 2 Ce 2.95
Se: 0.9187 0.5951 0.7544  1 Li 2.86, 3 Sm 2.93-3.01, 2 Ce 2.96



Li2CeSn3Se6: optimized geometry, PBE.

Output
Space group: C2/m (12)

Cell: 7.1645 7.1645 7.3821 Å, 99.01 99.01 120.14°
With the nearest neighbours (Å) after each atom.
Fractional positions:
Li: 0.1751 0.8249 0.0000  6 Se 2.85-3.05
Li: 0.8249 0.1751 0.0000  6 Se 2.85-3.05
Ce: 0.5000 0.5000 0.0000  6 Se 2.86-2.89
Sn: 0.0000 0.0000 0.5000  6 Se 3.00-3.02
Sn: 0.3349 0.6651 0.5000  6 Se 2.95-3.09
Sn: 0.6651 0.3349 0.5000  6 Se 2.95-3.09
Se: 0.0932 0.4196 0.7686  2 Li 2.85-2.88, 1 Ce 2.86, 3 Sn 3.02-3.09
Se: 0.2555 0.2555 0.2459  1 Ce 2.89, 3 Sn 2.95-3.00, 2 Li 3.05
Se: 0.4196 0.0932 0.7686  2 Li 2.85-2.88, 1 Ce 2.86, 3 Sn 3.02-3.09
Se: 0.5804 0.9068 0.2314  2 Li 2.85-2.88, 1 Ce 2.86, 3 Sn 3.02-3.09
Se: 0.7445 0.7445 0.7541  1 Ce 2.89, 3 Sn 2.95-3.00, 2 Li 3.05
Se: 0.9068 0.5804 0.2314  2 Li 2.85-2.88, 1 Ce 2.86, 3 Sn 3.02-3.09



LiCe2SnSe4: optimized geometry, PBE.

Output
Space group: P2/m (10)

Cell: 7.2769 4.2135 7.3940 Å, 90.00 108.94 90.00°
With the nearest neighbours (Å) after each atom.
Fractional positions:
Li: 0.0000 0.0000 0.0000  6 Se 2.94-2.97
Ce: 0.0000 0.5000 0.5000  6 Se 2.97-2.98
Ce: 0.5000 0.0000 0.5000  6 Se 3.02-3.03
Sn: 0.5000 0.5000 0.0000  6 Se 3.00-3.01
Se: 0.2433 0.0000 0.7508  1 Li 2.94, 3 Ce 2.98-3.03, 2 Sn 3.01
Se: 0.2447 0.5000 0.2472  3 Ce 2.97-3.02, 2 Li 2.97, 1 Sn 3.00
Se: 0.7553 0.5000 0.7528  3 Ce 2.97-3.02, 2 Li 2.97, 1 Sn 3.00
Se: 0.7567 0.0000 0.2492  1 Li 2.94, 3 Ce 2.98-3.03, 2 Sn 3.01



LiCeSn2Se4: optimized geometry, PBE.

Output
Space group: P2/m (10)

Cell: 7.1741 4.2428 7.4727 Å, 90.00 108.62 90.00°
With the nearest neighbours (Å) after each atom.
Fractional positions:
Li: 0.0000 0.0000 0.0000  6 Se 2.90-2.96
Ce: 0.5000 0.5000 0.0000  6 Se 2.93-2.98
Sn: 0.0000 0.5000 0.5000  6 Se 3.02-3.05
Sn: 0.5000 0.0000 0.5000  6 Se 3.05-3.06
Se: 0.2459 0.5000 0.2390  1 Ce 2.93, 2 Li 2.96, 3 Sn 3.02-3.06
Se: 0.2492 0.0000 0.7620  1 Li 2.90, 2 Ce 2.98, 3 Sn 3.05
Se: 0.7508 0.0000 0.2380  1 Li 2.90, 2 Ce 2.98, 3 Sn 3.05
Se: 0.7541 0.5000 0.7610  1 Ce 2.93, 2 Li 2.96, 3 Sn 3.02-3.06



Sr2LiCeSe4: optimized geometry, PBE.

Output
Space group: P2/m (10)

Cell: 7.4040 4.3553 7.4610 Å, 90.00 108.99 90.00°
With the nearest neighbours (Å) after each atom.
Fractional positions:
Sr: 0.0000 0.0000 0.0000  6 Se 3.11-3.13
Sr: 0.5000 0.5000 0.0000  6 Se 3.11-3.12
Li: 0.0000 0.5000 0.5000  6 Se 2.94-3.02
Ce: 0.5000 0.0000 0.5000  6 Se 2.94-3.01
Se: 0.2486 0.0000 0.7346  1 Ce 2.94, 2 Li 3.02, 3 Sr 3.11-3.12
Se: 0.2529 0.5000 0.2663  1 Li 2.94, 2 Ce 3.01, 3 Sr 3.11-3.13
Se: 0.7471 0.5000 0.7337  1 Li 2.94, 2 Ce 3.01, 3 Sr 3.11-3.13
Se: 0.7514 0.0000 0.2654  1 Ce 2.94, 2 Li 3.02, 3 Sr 3.11-3.12



SrLiCe2Se4: optimized geometry, PBE.

Output
Space group: Imma (74)

Cell: 8.5288 8.5288 8.5288 Å, 120.35 119.62 90.03°
With the nearest neighbours (Å) after each atom.
Fractional positions:
Sr: 0.5000 0.0000 0.0000  6 Se 3.06
Sr: 0.5000 0.5000 0.5000  6 Se 3.06
Li: 0.0000 0.0000 0.0000  6 Se 2.99-3.00
Li: 0.5000 0.0000 0.5000  6 Se 2.99-3.00
Ce: 0.0000 0.0000 0.5000  6 Se 2.96-2.97
Ce: 0.0000 0.5000 0.0000  6 Se 2.96-2.97
Ce: 0.0000 0.5000 0.5000  6 Se 3.03-3.04
Ce: 0.5000 0.5000 0.0000  6 Se 3.03-3.04
Se: 0.2410 0.2480 0.9930  3 Ce 2.97-3.04, 1 Li 2.99, 2 Sr 3.06
Se: 0.2450 0.7520 0.4930  3 Ce 2.97-3.04, 1 Li 2.99, 2 Sr 3.06
Se: 0.2459 0.2434 0.4976  3 Ce 2.96-3.03, 2 Li 3.00, 1 Sr 3.06
Se: 0.2459 0.7483 0.0024  3 Ce 2.96-3.03, 2 Li 3.00, 1 Sr 3.06
Se: 0.7541 0.2517 0.9976  3 Ce 2.96-3.03, 2 Li 3.00, 1 Sr 3.06
Se: 0.7541 0.7566 0.5024  3 Ce 2.96-3.03, 2 Li 3.00, 1 Sr 3.06
Se: 0.7550 0.2480 0.5070  3 Ce 2.97-3.04, 1 Li 2.99, 2 Sr 3.06
Se: 0.7590 0.7520 0.0070  3 Ce 2.97-3.04, 1 Li 2.99, 2 Sr 3.06



SrLi2CeSe4: optimized geometry, PBE.

Output
Space group: P2/m (10)

Cell: 6.8861 4.2544 7.3740 Å, 90.00 110.50 90.00°
With the nearest neighbours (Å) after each atom.
Fractional positions:
Sr: 0.0000 0.0000 0.0000  6 Se 3.05-3.06
Li: 0.5000 0.0000 0.5000  6 Se 2.80-2.84
Li: 0.5000 0.5000 0.0000  6 Se 2.97-3.04
Ce: 0.0000 0.5000 0.5000  6 Se 2.83-2.92
Se: 0.2578 0.0000 0.7356  3 Li 2.80-2.97, 2 Ce 2.92, 1 Sr 3.06
Se: 0.2596 0.5000 0.2754  1 Ce 2.83, 3 Li 2.84-3.04, 2 Sr 3.05
Se: 0.7404 0.5000 0.7246  1 Ce 2.83, 3 Li 2.84-3.04, 2 Sr 3.05
Se: 0.7422 0.0000 0.2644  3 Li 2.80-2.97, 2 Ce 2.92, 1 Sr 3.06



In order of appearance, E_form (uncorrected) = -1761 -1626 -1780 -1773 -924 -1302 -967 -1797 -1719 -1558 meV per atom.